(1)
# Hf2ScGaC PBE-GGA optimized geometry
data_Hf2ScGaC
_cell_length_a 4.457
_cell_length_b 4.457
_cell_length_c 4.439
_cell_angle_alpha 90.00
_cell_angle_beta 90.00
_cell_angle_gamma 90.00
_space_group_name_H-M_alt 'P 1'
_space_group_IT_number 1
_space_group_name_Hall 'P 1'
loop_
_atom_site_label
_atom_site_type_symbol
_atom_site_fract_x
_atom_site_fract_y
_atom_site_fract_z
Hf1 Hf 0.000 0.500 0.000
Hf2 Hf 0.500 0.000 0.000
Sc1 Sc 0.000 0.000 0.500
Ga1 Ga 0.500 0.500 0.500
C1 C 0.000 0.000 0.000
# DFT formation energy   -0.57 eV per atom
# Symmetry   No. 123



(2)
# HfSc2GaC PBE-GGA optimized geometry
data_HfSc2GaC
_cell_length_a 4.452
_cell_length_b 4.452
_cell_length_c 4.477
_cell_angle_alpha 90.00
_cell_angle_beta 90.00
_cell_angle_gamma 90.00
_space_group_name_H-M_alt 'P 1'
_space_group_IT_number 1
_space_group_name_Hall 'P 1'
loop_
_atom_site_label
_atom_site_type_symbol
_atom_site_fract_x
_atom_site_fract_y
_atom_site_fract_z
Hf1 Hf 0.000 0.000 0.500
C1 C 0.000 0.000 0.000
Sc1 Sc 0.000 0.500 0.000
Sc2 Sc 0.500 0.000 0.000
Ga1 Ga 0.500 0.500 0.500
# DFT formation energy   -0.63 eV per atom
# Symmetry   No. 123



(3)
# Hf2TiGaC PBE-GGA optimized geometry
data_Hf2TiGaC
_cell_length_a 4.457
_cell_length_b 4.457
_cell_length_c 4.168
_cell_angle_alpha 90.00
_cell_angle_beta 90.00
_cell_angle_gamma 90.00
_space_group_name_H-M_alt 'P 1'
_space_group_IT_number 1
_space_group_name_Hall 'P 1'
loop_
_atom_site_label
_atom_site_type_symbol
_atom_site_fract_x
_atom_site_fract_y
_atom_site_fract_z
Hf1 Hf 0.500 0.000 0.000
Hf2 Hf 0.000 0.500 0.000
Ti1 Ti 0.000 0.000 0.500
C1 C 0.000 0.000 0.000
Ga1 Ga 0.500 0.500 0.500
# DFT formation energy   -0.55 eV per atom
# Symmetry   No. 123